[1]
The following is a DFT calculation (GGA-PBE) of CsSbTeH3 after structural relaxation.

Unit cell a=5.8165 b=5.8259 c=6.5271 alpha=108.40 beta=108.71 gamma=104.45
Closest atoms and distances in Å follow each position.
Element x y z (fractional)
Cs  0.8564  0.7411  0.5079  6 H 3.12-3.45
Sb  0.1307  0.5034  0.0311  2 H 1.74-1.75
Te  0.6148  0.9946  0.0073  1 H 1.69
H  0.4301  0.1778  0.0139  1 Te 1.69
H  0.9984  0.3459  0.7197  1 Sb 1.74
H  0.9271  0.6792  0.0087  1 Sb 1.75

Values from the calculation:
- polymorph energy (0 for the lowest one) (eV/atom) = 0.1638

---

[2]
The following is a DFT calculation (GGA-PBE) of NbHF3 after structural relaxation.

Unit cell a=4.2007 b=4.2007 c=4.2007 alpha=90.00 beta=90.00 gamma=90.00
Closest atoms and distances in Å follow each position.
Element x y z (fractional)
H  0.5000  0.5000  0.5000  12 F 2.97
Nb  0.0000  0.0000  0.0000  6 F 2.10
F  0.0000  0.5000  0.0000  2 Nb 2.10
F  0.0000  0.0000  0.5000  2 Nb 2.10
F  0.5000  0.0000  0.0000  2 Nb 2.10

Values from the calculation:
- polymorph energy (0 for the lowest one) (eV/atom) = 0.0000